Entry 1:
Sm6Er5In: optimized geometry, GGA-PBE.

Calculated formation energy   -0.0567 eV/atom

Unit cell a=4.999 b=9.917 c=15.129 alpha=90.00 beta=90.00 gamma=90.00
Space group Immm (No. 71)
Unique sites:
Sm 0.000 0.245 0.000 x4
Sm 0.000 0.254 0.334 x8
Er 0.000 0.000 0.167 x4
Er 0.000 0.000 0.500 x2
Er 0.000 0.500 0.164 x4
In 0.000 0.500 0.500 x2

---

Entry 2:
Mn2Si2Ni: optimized geometry, GGA-PBE.

Formation energy without anion corrections   -0.2992 eV per atom

Unit cell a=6.014 b=6.014 c=3.398 alpha=90.00 beta=90.00 gamma=90.00
Space group P4/mbm (No. 127)
Unique sites:
Mn 0.163 0.337 0.000 x4
Si 0.139 0.639 0.500 x4
Ni 0.000 0.000 0.500 x2

---

Entry 3:
YRu5: optimized geometry, GGA-PBE.

Calculated formation energy   0.1268 eV/atom

Unit cell a=10.209 b=2.831 c=6.712 alpha=90.00 beta=104.37 gamma=90.00
Space group Cm (No. 8)
Unique sites:
Y 0.000 0.000 0.000 x2
Ru 0.131 0.500 0.699 x2
Ru 0.191 0.500 0.346 x2
Ru 0.270 0.000 0.051 x2
Ru 0.338 0.000 0.649 x2
Ru 0.457 0.500 0.405 x2

---

Entry 4:
LaCd2H: optimized geometry, GGA-PBE.

E above lowest polymorph   223.5 meV/atom

Unit cell a=7.330 b=7.330 c=7.330 alpha=90.00 beta=90.00 gamma=90.00
Space group Fm-3m (No. 225)
Unique sites:
La 0.000 0.000 0.000 x4
Cd 0.250 0.250 0.250 x8
H 0.000 0.000 0.500 x4

---

Entry 5:
CaTbCeEr: optimized geometry, GGA-PBE.

Calculated formation energy   0.2428 eV/atom

Unit cell a=8.126 b=8.126 c=8.126 alpha=90.00 beta=90.00 gamma=90.00
Space group F-43m (No. 216)
Unique sites:
Ca 0.000 0.000 0.000 x4
Tb 0.250 0.250 0.750 x4
Ce 0.000 0.000 0.500 x4
Er 0.250 0.250 0.250 x4

---

Entry 6:
BaGa: optimized geometry, GGA-PBE.

Calculated formation energy   0.0202 eV/atom

Unit cell a=6.953 b=6.953 c=6.953 alpha=90.00 beta=90.00 gamma=90.00
Space group Fm-3m (No. 225)
Unique sites:
Ba 0.000 0.000 0.000 x4
Ga 0.000 0.000 0.500 x4

---

Entry 7:
Li4AlTc: optimized geometry, GGA-PBE.

Calculated formation energy   0.2499 eV/atom

Unit cell a=6.851 b=6.851 c=6.851 alpha=90.00 beta=90.00 gamma=90.00
Space group F-43m (No. 216)
Unique sites:
Li 0.124 0.124 0.124 x16
Al 0.000 0.000 0.500 x4
Tc 0.250 0.250 0.750 x4

---

Entry 8:
CaCd2Si: optimized geometry, GGA-PBE.

Formation energy without anion corrections   -0.0258 eV per atom

Unit cell a=4.4586 b=4.4586 c=17.4964 alpha=90.00 beta=90.00 gamma=120.00
Space group R-3m (No. 166, hexagonal axes)
Unique sites:
Ca 0.0000 0.0000 0.0000 x3
Cd 0.0000 0.0000 0.2231 x6
Si 0.0000 0.0000 0.5000 x3

---

Entry 9:
DyZnCu: optimized geometry, GGA-PBE.

Calculated formation energy   -0.3158 eV/atom

Unit cell a=4.3402 b=4.3402 c=3.5663 alpha=90.00 beta=90.00 gamma=120.00
Space group P-6m2 (No. 187)
Unique sites:
Dy 0.0000 0.0000 0.0000 x1
Zn 0.6667 0.3333 0.5000 x1
Cu 0.3333 0.6667 0.5000 x1

---

Entry 10:
Y6Si2AsSe3: optimized geometry, GGA-PBE.

Formation energy without anion corrections   -1.4807 eV per atom

Unit cell a=17.993 b=4.113 c=8.275 alpha=90.00 beta=103.56 gamma=90.00
Space group C2/m (No. 12)
Unique sites:
Y 0.005 0.000 0.246 x4
Y 0.165 0.500 0.095 x4
Y 0.170 0.500 0.575 x4
Si 0.167 0.000 0.333 x4
As 0.000 0.500 0.000 x2
Se 0.000 0.500 0.500 x2
Se 0.165 0.000 0.834 x4